No. 1
# Zr2NiP

Zr2NiP after structural relaxation (GGA-PBEsol, the Alexandria database).

a b c (Å): 3.6318 3.6463 5.2342
angles (deg): 90.00 110.30 90.00
Closest atoms and distances in Å follow each position.
Sites, in units of the cell vectors:
Ni1 0.6915 0.0000 0.3829  2 P 2.29
Zr1 0.9761 0.0000 0.9523  4 P 2.68, 3 Ni 2.79-2.80
Zr2 0.2705 0.5000 0.5409  4 Ni 2.69, 3 P 2.75-2.82
P1 0.5510 0.5000 0.1021  2 Ni 2.29

Output
DFT formation energy (eV/atom): -1.0538
Magnetic moment (μB per cell): 0.00

No. 2
# CeAsS

CeAsS after structural relaxation (GGA-PBEsol, the Alexandria database).

a b c (Å): 3.8877 3.8877 8.2588
angles (deg): 90.00 90.00 90.00
Closest atoms and distances in Å follow each position.
Sites, in units of the cell vectors:
As1 0.0000 0.0000 0.0000  4 As 2.75
As2 0.5000 0.5000 0.0000  4 As 2.75
S1 0.0000 0.5000 0.3649  5 Ce 2.82-2.86
S2 0.5000 0.0000 0.6351  5 Ce 2.82-2.86
Ce1 0.0000 0.5000 0.7107  5 S 2.82-2.86, 4 As 3.08
Ce2 0.5000 0.0000 0.2893  5 S 2.82-2.86, 4 As 3.08

Output
Raw formation energy (meV/atom): -1590
Magnetic moment (μB per cell): 1.03

No. 3
# Tl2PbAu

Tl2PbAu after structural relaxation (GGA-PBEsol, the Alexandria database).

a b c (Å): 3.5072 3.5072 9.9081
angles (deg): 79.81 79.81 60.00
Closest atoms and distances in Å follow each position.
Sites, in units of the cell vectors:
Pb1 0.0000 0.0000 0.0000  6 Tl 3.42, 6 Pb 3.51
Tl1 0.2386 0.2386 0.2843  3 Au 2.91
Tl2 0.7614 0.7614 0.7157  3 Au 2.91
Au1 0.5000 0.5000 0.5000  6 Tl 2.91

Output
DFT formation energy (eV/atom): 0.0576
Magnetic moment (μB per cell): 0.00

No. 4
# In2ReAs

In2ReAs after structural relaxation (GGA-PBEsol, the Alexandria database).

a b c (Å): 4.1215 4.1215 5.2046
angles (deg): 113.33 113.33 90.00
Closest atoms and distances in Å follow each position.
Sites, in units of the cell vectors:
Re1 0.5000 0.5000 0.0000  4 As 2.91, 8 In 2.98
As1 0.0000 0.0000 0.0000  4 Re 2.91, 8 In 2.98
In1 0.7500 0.2500 0.5000  4 In 2.91, 4 As 2.98, 4 Re 2.98
In2 0.2500 0.7500 0.5000  4 In 2.91, 4 As 2.98, 4 Re 2.98

Output
DFT formation energy (eV/atom): 0.7027
Magnetic moment (μB per cell): 0.73

No. 5
# MoPSe2Br

MoPSe2Br after structural relaxation (GGA-PBEsol, the Alexandria database).

a b c (Å): 4.7255 4.8546 4.8546
angles (deg): 90.00 90.00 90.00
Closest atoms and distances in Å follow each position.
Sites, in units of the cell vectors:
P1 0.0000 0.0000 0.0000  2 Br 2.36, 4 Se 2.43
Mo1 0.5000 0.5000 0.5000  8 Se 3.39, 4 Br 3.43
Se1 0.0000 0.0000 0.5000  2 P 2.43
Se2 0.0000 0.5000 0.0000  2 P 2.43
Br1 0.5000 0.0000 0.0000  2 P 2.36

Output
Raw formation energy (meV/atom): 915
Magnetic moment (μB per cell): 3.90

No. 6
# Ca2YAsW2O12

Ca2YAsW2O12 after structural relaxation (GGA-PBEsol, the Alexandria database).

a b c (Å): 5.1276 5.1276 17.3219
angles (deg): 98.51 98.51 90.00
Closest atoms and distances in Å follow each position.
Sites, in units of the cell vectors:
Ca1 0.0855 0.5855 0.1711  6 O 2.31-2.44
Ca2 0.8355 0.8355 0.6711  6 O 2.31-2.44
Ca3 0.1645 0.1645 0.3289  6 O 2.31-2.44
Ca4 0.4145 0.9145 0.8289  6 O 2.31-2.44
Y1 0.5000 0.5000 0.0000  8 O 2.29-2.37
Y2 0.7500 0.2500 0.5000  8 O 2.29-2.37
As1 0.2500 0.7500 0.5000  4 O 1.73
As2 0.0000 0.0000 0.0000  4 O 1.73
W1 0.9246 0.4246 0.8492  4 O 1.79-1.84
W2 0.3254 0.3254 0.6508  4 O 1.79-1.84
W3 0.5754 0.0754 0.1508  4 O 1.79-1.84
W4 0.6746 0.6746 0.3492  4 O 1.79-1.84
O1 0.4765 0.9786 0.5554  1 As 1.73
O2 0.8268 0.2265 0.0554  1 As 1.73
O3 0.2286 0.8289 0.0554  1 As 1.73
O4 0.0789 0.5768 0.5554  1 As 1.73
O5 0.7735 0.7714 0.9446  1 As 1.73
O6 0.4232 0.5235 0.4446  1 As 1.73
O7 0.0214 0.9211 0.4446  1 As 1.73
O8 0.1711 0.1732 0.9446  1 As 1.73
O9 0.0206 0.1365 0.6070  1 W 1.84
O10 0.7205 0.7706 0.1070  1 W 1.84
O11 0.3865 0.3364 0.1070  1 W 1.84
O12 0.5864 0.4705 0.6070  1 W 1.84
O13 0.0263 0.1514 0.7846  1 W 1.79
O14 0.8832 0.7763 0.2846  1 W 1.79
O15 0.4014 0.5084 0.2846  1 W 1.79
O16 0.7584 0.6332 0.7846  1 W 1.79
O17 0.2237 0.5986 0.7154  1 W 1.79
O18 0.3668 0.9737 0.2154  1 W 1.79
O19 0.8486 0.2416 0.2154  1 W 1.79
O20 0.4916 0.1168 0.7154  1 W 1.79
O21 0.6636 0.2795 0.8930  1 W 1.84
O22 0.8635 0.4136 0.3930  1 W 1.84
O23 0.5295 0.9794 0.3930  1 W 1.84
O24 0.2294 0.6135 0.8930  1 W 1.84

Output
Raw formation energy (meV/atom): -2565
Magnetic moment (μB per cell): 0.00

No. 7
# TlHg2Mo

TlHg2Mo after structural relaxation (GGA-PBEsol, the Alexandria database).

a b c (Å): 4.9423 4.9423 4.9423
angles (deg): 60.00 60.00 60.00
Closest atoms and distances in Å follow each position.
Sites, in units of the cell vectors:
Hg1 0.2500 0.2500 0.2500  4 Tl 3.03, 4 Mo 3.03
Hg2 0.7500 0.7500 0.7500  4 Tl 3.03, 4 Mo 3.03
Mo1 0.0000 0.0000 0.0000  8 Hg 3.03
Tl1 0.5000 0.5000 0.5000  8 Hg 3.03

Output
DFT formation energy (eV/atom): 0.7715
Distance to the lowest polymorph of the same formula (eV/f.u.): 1.317
Magnetic moment (μB per cell): 3.31

No. 8
# Ru5Rh4

Ru5Rh4 after structural relaxation (GGA-PBEsol, the Alexandria database).

a b c (Å): 3.7681 5.9565 5.9565
angles (deg): 84.26 71.56 71.56
Closest atoms and distances in Å follow each position.
Sites, in units of the cell vectors:
Rh1 0.6710 0.3290 0.3290  7 Ru 2.63-2.68, 5 Rh 2.70-2.73
Rh2 0.3290 0.6710 0.6710  7 Ru 2.63-2.68, 5 Rh 2.70-2.73
Rh3 0.0000 0.3290 0.6710  7 Ru 2.63-2.68, 5 Rh 2.70-2.73
Rh4 0.0000 0.6710 0.3290  7 Ru 2.63-2.68, 5 Rh 2.70-2.73
Ru1 0.0000 0.0000 0.0000  4 Rh 2.63, 8 Ru 2.65
Ru2 0.6649 0.6701 0.0000  6 Ru 2.64-2.69, 6 Rh 2.65-2.68
Ru3 0.3351 0.0000 0.3299  6 Ru 2.64-2.69, 6 Rh 2.65-2.68
Ru4 0.6649 0.0000 0.6701  6 Ru 2.64-2.69, 6 Rh 2.65-2.68
Ru5 0.3351 0.3299 0.0000  6 Ru 2.64-2.69, 6 Rh 2.65-2.68

Output
DFT formation energy (eV/atom): 0.0330
Magnetic moment (μB per cell): 0.00

No. 9
# Sb4Te7P

Sb4Te7P after structural relaxation (GGA-PBEsol, the Alexandria database).

a b c (Å): 4.2915 4.2915 22.3636
angles (deg): 90.00 90.00 120.00
Closest atoms and distances in Å follow each position.
Sites, in units of the cell vectors:
Sb1 0.3333 0.6667 0.9133  6 Te 3.01-3.15
Sb2 0.6667 0.3333 0.0867  6 Te 3.01-3.15
Sb3 0.3333 0.6667 0.6502  6 Te 3.00-3.13
Sb4 0.6667 0.3333 0.3498  6 Te 3.00-3.13
Te1 0.0000 0.0000 0.0000  6 Sb 3.15
Te2 0.3333 0.6667 0.4352  3 P 2.87, 3 Sb 3.13
Te3 0.6667 0.3333 0.5648  3 P 2.87, 3 Sb 3.13
Te4 0.3333 0.6667 0.1632  3 Sb 3.01
Te5 0.6667 0.3333 0.8368  3 Sb 3.01
Te6 0.0000 0.0000 0.7257  3 Sb 3.00
Te7 0.0000 0.0000 0.2743  3 Sb 3.00
P1 0.0000 0.0000 0.5000  6 Te 2.87

Output
Raw formation energy (meV/atom): -29
Magnetic moment (μB per cell): 0.00

No. 10
# Sr2ReBr

Sr2ReBr after structural relaxation (GGA-PBEsol, the Alexandria database).

a b c (Å): 3.3906 5.1977 6.0961
angles (deg): 90.00 90.00 90.00
Closest atoms and distances in Å follow each position.
Sites, in units of the cell vectors:
Re1 0.5000 0.5000 0.5000  6 Sr 3.05-3.10, 2 Re 3.39
Br1 0.0000 0.0000 0.0000  6 Sr 3.05-3.10, 2 Br 3.39
Sr1 0.0000 0.0000 0.5000  2 Br 3.05, 4 Re 3.10, 2 Sr 3.39
Sr2 0.5000 0.5000 0.0000  2 Re 3.05, 4 Br 3.10, 2 Sr 3.39

Output
Raw formation energy (meV/atom): 268
Distance to the lowest polymorph of the same formula (eV/f.u.): 0.000
Magnetic moment (μB per cell): 1.29

No. 11
# AsIr2Rh

AsIr2Rh after structural relaxation (GGA-PBEsol, the Alexandria database).

a b c (Å): 3.9534 3.9534 4.5936
angles (deg): 115.49 115.49 90.00
Closest atoms and distances in Å follow each position.
Sites, in units of the cell vectors:
As1 0.0000 0.0000 0.0000  8 Ir 2.69, 4 Rh 2.80
Ir1 0.7500 0.2500 0.5000  4 As 2.69, 4 Rh 2.69, 4 Ir 2.80
Ir2 0.2500 0.7500 0.5000  4 As 2.69, 4 Rh 2.69, 4 Ir 2.80
Rh1 0.5000 0.5000 0.0000  8 Ir 2.69, 4 As 2.80

Output
DFT formation energy (eV/atom): 0.1919
Magnetic moment (μB per cell): 0.00

No. 12
# KTe4W

KTe4W after structural relaxation (GGA-PBEsol, the Alexandria database).

a b c (Å): 6.3362 6.3362 6.3362
angles (deg): 60.00 60.00 60.00
Closest atoms and distances in Å follow each position.
Sites, in units of the cell vectors:
K1 0.0000 0.0000 0.0000  12 Te 3.72, 4 W 3.88
Te1 0.3764 0.3764 0.3764  6 Te 3.13-3.20
Te2 0.3764 0.3764 0.8708  6 Te 3.13-3.20
Te3 0.8708 0.3764 0.3764  6 Te 3.13-3.20
Te4 0.3764 0.8708 0.3764  6 Te 3.13-3.20
W1 0.7500 0.7500 0.7500  12 Te 3.71, 4 K 3.88

Output
Raw formation energy (meV/atom): 980
Magnetic moment (μB per cell): 4.74

no.,VASP energy (eV for the cell shown)
1,-34.344
2,-41.709
3,-12.953
4,-21.593
5,-22.555
6,-305.943
7,-12.446
8,-83.119
9,-49.048
10,-17.813
11,-32.124
12,-23.168